DFT (GGA-PBE) results for a relaxed structure of Rb3MoS.

Output
**Formation energy from raw total energies**: 0.45 eV per atom
**Total magnetization**: 5.0 μB/cell
**Relative energy among the computed polymorphs**: 0 meV per atom

abc: 6.437 6.437 6.437
angles: 90.00 90.00 90.00
Positions (direct):
Rb1 0.000 0.000 0.500
Rb2 0.000 0.500 0.000
Rb3 0.500 0.000 0.000
Mo1 0.500 0.500 0.500
S1 0.000 0.000 0.000